DFT (PBE) results for PaHSe2 after structural relaxation.

Cell and atoms, written as POSCAR:
```
PaHSe2
1.0
3.8926 0.0000 -0.0011
-0.0001 3.8480 0.0000
-1.9449 -1.9239 4.6580
Pa Se H
1 2 1
Direct
0.5000 0.5090 0.0000
0.1601 0.1691 0.3203
0.8399 0.8489 0.6797
0.4999 0.0090 0.0000
```

Values from the calculation:
VASP energy, eV for the cell shown: -23.24
ΔE to the lowest computed polymorph, kJ/mol of formula units: 113
Space-group type: Immm, No. 71


DFT (PBE) results for PaHSe2 after structural relaxation.

Cell and atoms, written as POSCAR:
```
PaHSe2
1.0
-0.7145 3.8711 -0.4612
-3.4984 1.2150 -1.4118
-3.9278 2.0066 5.8968
Se H Pa
2 1 1
Direct
0.9156 0.9156 0.2532
0.0844 0.0844 0.7468
0.0000 0.0000 0.0000
0.5000 0.5000 0.5000
```

Values from the calculation:
VASP energy, eV for the cell shown: -22.63
ΔE to the lowest computed polymorph, kJ/mol of formula units: 172
Space-group type: R-3m, No. 166


DFT (PBE) results for Pa2HSe3 after structural relaxation.

Cell and atoms, written as POSCAR:
```
Pa2HSe3
1.0
3.9232 0.0000 0.0000
0.0000 11.3402 0.0000
0.0000 0.0000 11.0971
Pa Se H
8 12 4
Direct
0.2500 0.6818 0.4663
0.7500 0.5177 0.1994
0.2500 0.0177 0.3006
0.7500 0.1818 0.0337
0.2500 0.8182 0.9663
0.7500 0.9823 0.6994
0.2500 0.4823 0.8006
0.7500 0.3182 0.5337
0.2500 0.0608 0.8781
0.7500 0.2070 0.2923
0.7500 0.8767 0.4438
0.2500 0.1233 0.5562
0.7500 0.6233 0.9438
0.2500 0.7070 0.2077
0.2500 0.7930 0.7077
0.2500 0.3767 0.0562
0.7500 0.5608 0.6219
0.2500 0.4392 0.3781
0.7500 0.2930 0.7923
0.7500 0.9392 0.1219
0.2500 0.1269 0.1258
0.7500 0.8731 0.8742
0.2500 0.3731 0.6258
0.7500 0.6269 0.3742
```

Values from the calculation:
VASP energy, eV for the cell shown: -161.18
ΔE to the lowest computed polymorph, kJ/mol of formula units: 0
Space-group type: Pnma, No. 62


DFT (PBE) results for PaTlHSe3 after structural relaxation.

Cell and atoms, written as POSCAR:
```
PaTlHSe3
1.0
3.8989 0.0000 0.0000
0.0000 9.2603 -0.0469
0.0000 -2.5353 9.0954
H Se Tl Pa
2 6 2 2
Direct
0.2500 0.2659 0.6284
0.7500 0.7341 0.3716
0.2500 0.7619 0.4666
0.7500 0.8764 0.1229
0.7500 0.2381 0.5334
0.2500 0.5588 0.8575
0.7500 0.4412 0.1425
0.2500 0.1236 0.8771
0.2500 0.1769 0.2334
0.7500 0.8231 0.7666
0.2500 0.6784 0.1800
0.7500 0.3216 0.8200
```

Values from the calculation:
VASP energy, eV for the cell shown: -59.72
Space-group type: P2_1/m, No. 11


DFT (PBE) results for Pa2SiH after structural relaxation.

Cell and atoms, written as POSCAR:
```
Pa2SiH
1.0
-0.4123 3.0060 1.8491
-2.9991 1.8798 -0.3109
-3.9068 -1.9344 5.6874
Pa H Si
2 1 1
Direct
0.7397 0.7397 0.7808
0.2603 0.2603 0.2192
0.0000 0.0000 0.0000
0.5000 0.5000 0.5000
```

Values from the calculation:
VASP energy, eV for the cell shown: -28.26
ΔE to the lowest computed polymorph, kJ/mol of formula units: 4
Space-group type: R-3m, No. 166


DFT (PBE) results for Pa2SiH3 after structural relaxation.

Cell and atoms, written as POSCAR:
```
Pa2SiH3
1.0
-3.7915 -1.4038 -0.4264
-2.2924 -1.6517 6.4409
-4.0971 3.9131 4.1670
H Pa Si
6 4 2
Direct
0.3114 0.8774 0.4998
0.0001 0.6409 0.3588
0.9999 0.3591 0.6412
0.6886 0.5002 0.1226
0.3114 0.4998 0.8774
0.6886 0.1226 0.5002
0.8078 0.6922 0.6922
0.5000 0.2236 0.7764
0.5000 0.7764 0.2236
0.1922 0.3078 0.3078
0.8693 0.1307 0.1308
0.1307 0.8693 0.8692
```

Values from the calculation:
VASP energy, eV for the cell shown: -72.94
Space-group type: Immm, No. 71


DFT (PBE) results for Pa2SiH after structural relaxation.

Cell and atoms, written as POSCAR:
```
Pa2SiH
1.0
3.3255 0.0000 0.0000
0.0000 3.3255 0.0000
0.0000 0.0000 6.3304
Si H Pa
1 1 2
Direct
0.5000 0.5000 0.5000
0.5000 0.5000 0.0000
0.0000 0.0000 0.2281
0.0000 0.0000 0.7719
```

Values from the calculation:
VASP energy, eV for the cell shown: -27.74
ΔE to the lowest computed polymorph, kJ/mol of formula units: 53
Space-group type: P4/mmm, No. 123


DFT (PBE) results for PaSiH after structural relaxation.

Cell and atoms, written as POSCAR:
```
PaSiH
1.0
3.8485 0.0000 -1.1611
0.0001 4.0466 0.0004
-0.3655 -0.0007 5.7469
Pa H Si
2 2 2
Direct
0.9677 0.6155 0.3982
0.2624 0.1155 0.9875
0.8657 0.1154 0.1941
0.3644 0.6155 0.1916
0.6803 0.6155 0.8234
0.5498 0.1155 0.5622
```

Values from the calculation:
VASP energy, eV for the cell shown: -39.83
ΔE to the lowest computed polymorph, kJ/mol of formula units: 0
Space-group type: Cmcm, No. 63